Record 1
# PBE Gd2Ge2O7, optimized geometry
data_Gd2Ge2O7
_chemical_formula_sum 'Gd4 Ge4 O14'
_cell_length_a 6.723
_cell_length_b 6.802
_cell_length_c 6.870
_cell_angle_alpha 64.70
_cell_angle_beta 86.74
_cell_angle_gamma 87.39
_symmetry_space_group_name_H-M 'P 1'
_symmetry_Int_Tables_number 1
_symmetry_space_group_name_Hall 'P 1'
loop_
_atom_site_label
_atom_site_fract_x
_atom_site_fract_y
_atom_site_fract_z
Gd1 0.000 0.000 0.000
Gd2 0.060 0.507 0.492
Gd3 0.303 0.976 0.496
Gd4 0.579 0.426 0.847
Ge1 0.114 0.471 0.978
Ge2 0.472 0.871 0.033
Ge3 0.562 0.429 0.352
Ge4 0.806 0.989 0.504
O1 0.021 0.614 0.125
O2 0.255 0.603 0.729
O3 0.259 0.230 0.108
O4 0.288 0.958 0.848
O5 0.337 0.320 0.481
O6 0.367 0.776 0.298
O7 0.569 0.603 0.070
O8 0.618 0.816 0.655
O9 0.663 0.056 0.960
O10 0.665 0.202 0.299
O11 0.716 0.479 0.517
O12 0.924 0.380 0.865
O13 0.977 0.874 0.371
O14 0.980 0.097 0.614
# - Total moment: 0.002 Bohr magnetons per cell
# - Final energy: -7.4121 eV/atom

=====

Record 2
# PBE SrYAl4Au2, optimized geometry
data_SrYAl4Au2
_chemical_formula_sum 'Sr2 Y2 Al8 Au4'
_cell_length_a 5.215
_cell_length_b 4.632
_cell_length_c 20.870
_cell_angle_alpha 90.00
_cell_angle_beta 90.00
_cell_angle_gamma 90.00
_symmetry_space_group_name_H-M 'A m m 2'
_symmetry_Int_Tables_number 38
_symmetry_space_group_name_Hall 'A 2 -2'
loop_
_atom_site_label
_atom_site_fract_x
_atom_site_fract_y
_atom_site_fract_z
Sr1 0.000 0.000 0.000
Y1 0.000 0.000 0.699
Al1 0.256 0.000 0.286
Al2 0.262 0.000 0.144
Au1 0.000 0.000 0.403
Au2 0.000 0.000 0.831
# - Total moment: 0.006 Bohr magnetons per cell
# - Final energy: -3.6006 eV/atom

=====

Record 3
# PBE K2CoS2, optimized geometry
data_K2CoS2
_chemical_formula_sum 'K8 Co4 S8'
_cell_length_a 6.751
_cell_length_b 12.585
_cell_length_c 5.912
_cell_angle_alpha 90.00
_cell_angle_beta 90.00
_cell_angle_gamma 90.00
_symmetry_space_group_name_H-M 'I b a m'
_symmetry_Int_Tables_number 72
_symmetry_space_group_name_Hall '-I 2 2c'
loop_
_atom_site_label
_atom_site_fract_x
_atom_site_fract_y
_atom_site_fract_z
K1 0.163 0.147 0.000
Co1 0.000 0.500 0.250
S1 0.183 0.400 0.000
# - Total moment: 12.002 Bohr magnetons per cell
# - Final energy: -4.2934 eV/atom

=====

Record 4
# PBE LuTeAuO, optimized geometry
data_LuTeAuO
_chemical_formula_sum 'Lu4 Te4 Au4 O4'
_cell_length_a 5.563
_cell_length_b 10.107
_cell_length_c 5.590
_cell_angle_alpha 90.00
_cell_angle_beta 90.00
_cell_angle_gamma 90.00
_symmetry_space_group_name_H-M 'P c c a'
_symmetry_Int_Tables_number 54
_symmetry_space_group_name_Hall '-P 2a 2ac'
loop_
_atom_site_label
_atom_site_fract_x
_atom_site_fract_y
_atom_site_fract_z
Lu1 0.000 0.101 0.250
Te1 0.000 0.280 0.750
Au1 0.250 0.500 0.047
O1 0.250 0.000 0.001
# - Total moment: 0.002 Bohr magnetons per cell
# - Distance to the lowest polymorph of the same formula: 0.033 eV/atom
# - Final energy: -5.7207 eV/atom

=====

Record 5
# PBE Rb2ZrAuBr6, optimized geometry
data_Rb2ZrAuBr6
_chemical_formula_sum 'Rb8 Zr4 Au4 Br24'
_cell_length_a 11.219
_cell_length_b 11.219
_cell_length_c 11.219
_cell_angle_alpha 90.00
_cell_angle_beta 90.00
_cell_angle_gamma 90.00
_symmetry_space_group_name_H-M 'F m -3 m'
_symmetry_Int_Tables_number 225
_symmetry_space_group_name_Hall '-F 4 2 3'
loop_
_atom_site_label
_atom_site_fract_x
_atom_site_fract_y
_atom_site_fract_z
Rb1 0.250 0.250 0.250
Zr1 0.000 0.000 0.000
Au1 0.000 0.000 0.500
Br1 0.000 0.000 0.238
# - Total moment: 0.007 Bohr magnetons per cell
# - Final energy: -3.5475 eV/atom

=====

Record 6
# PBE TmHfNb, optimized geometry
data_TmHfNb
_chemical_formula_sum 'Tm4 Hf4 Nb4'
_cell_length_a 6.760
_cell_length_b 6.760
_cell_length_c 6.760
_cell_angle_alpha 90.00
_cell_angle_beta 90.00
_cell_angle_gamma 90.00
_symmetry_space_group_name_H-M 'F -4 3 m'
_symmetry_Int_Tables_number 216
_symmetry_space_group_name_Hall 'F -4 2 3'
loop_
_atom_site_label
_atom_site_fract_x
_atom_site_fract_y
_atom_site_fract_z
Tm1 0.000 0.000 0.000
Hf1 0.000 0.000 0.500
Nb1 0.250 0.250 0.750
# - Total moment: 0.003 Bohr magnetons per cell
# - Distance to the lowest polymorph of the same formula: 0.000 eV/atom
# - Final energy: -7.3842 eV/atom
# - Formation energy from the elements: 0.790 eV/atom